Ir4CO4 after structural relaxation, computed with PBE.

Lattice parameters (Å, degrees): 5.1265 5.1265 10.1012 90.00 90.00 110.37
Fractional coordinates of all 18 atoms:
C: 0.3911 0.6089 0.1300
C: 0.6089 0.3911 0.6300
Ir: 0.1652 0.8348 0.1718
Ir: 0.4356 0.5644 0.3177
Ir: 0.4394 0.1201 0.4910
Ir: 0.8799 0.5606 0.4910
Ir: 0.8348 0.1652 0.6718
Ir: 0.5644 0.4356 0.8177
Ir: 0.1201 0.4394 0.9910
Ir: 0.5606 0.8799 0.9910
O: 0.9637 0.0363 0.0768
O: 0.2687 0.1605 0.3143
O: 0.8395 0.7313 0.3143
O: 0.3015 0.6985 0.4886
O: 0.0363 0.9637 0.5768
O: 0.1605 0.2687 0.8143
O: 0.7313 0.8395 0.8143
O: 0.6985 0.3015 0.9886

Summary:
Its space-group type is Cmc2_1. Its volume is 248.9 Å³ per cell. As for the total energy: -7.018 eV per atom.